Crystalline Y4Sn2C at its relaxed geometry. Source: the Alexandria database, functional GGA-PBE.

Summary:
For the formation energy, the calculation gives -67.1 kJ per mole of atoms. The calculation puts the density of states at the Fermi level at 0.6 states/eV/f.u. As for the calculated volume: 369 Å³ per cell. The value obtained for the total energy is -6.8510 eV per atom. As for the offset from the most stable computed form: 0 meV per atom.

```
data_Y4Sn2C
_chemical_formula_sum 'Y8 Sn4 C2'
_cell_length_a 4.803
_cell_length_b 4.803
_cell_length_c 15.977
_cell_angle_alpha 90.00
_cell_angle_beta 90.00
_cell_angle_gamma 90.00
_symmetry_space_group_name_H-M 'I 4/m m m'
_symmetry_Int_Tables_number 139
_symmetry_space_group_name_Hall '-I 4 2'
loop_
_atom_site_label
_atom_site_fract_x
_atom_site_fract_y
_atom_site_fract_z
Y1 0.000 0.000 0.160
Y2 0.000 0.500 0.000
Sn1 0.000 0.000 0.359
C1 0.000 0.000 0.000
```